# 1
## TaTc3Hg (GGA-PBE)

Data for TaTc3Hg after structural relaxation.

## Properties
volume: 22.2 A^3/atom
final energy: -6.000 eV per atom

abc: 4.805 4.805 4.805
angles: 90.00 90.00 90.00
Space group Pm-3m (No. 221)
Asymmetric unit:
Ta (0.000, 0.000, 0.000)
Tc (0.000, 0.500, 0.500)
Hg (0.500, 0.500, 0.500)

# 2
## TaZnTcHg2 (GGA-PBE)

Data for TaZnTcHg2 after structural relaxation.

## Properties
volume: 28.0 A^3/atom
final energy: -3.137 eV per atom

abc: 5.291 5.291 5.002
angles: 90.00 90.00 90.00
Space group P4/mmm (No. 123)
Asymmetric unit:
Ta (0.000, 0.000, 0.000)
Zn (0.000, 0.000, 0.500)
Tc (0.500, 0.500, 0.500)
Hg (0.000, 0.500, 0.000)

# 3
## TaHgTe (GGA-PBE)

Data for TaHgTe after structural relaxation.

## Properties
formation energy without anion corrections: 15 meV per atom
volume: 25.3 A^3/atom

abc: 17.595 3.646 4.927
angles: 90.00 106.20 90.00
Space group C2/m (No. 12)
Asymmetric unit:
Ta (0.237, 0.000, 0.237)
Hg (0.083, 0.500, 0.083)
Te (0.139, 0.000, 0.640)

# 4
## TaHgTe (GGA-PBE)

Data for TaHgTe after structural relaxation.

## Properties
formation energy without anion corrections: 125 meV per atom
volume: 24.3 A^3/atom

abc: 3.4423 3.4423 7.1052
angles: 90.00 90.00 120.00
Space group P3m1 (No. 156)
Asymmetric unit:
Ta (0.0000, 0.0000, 0.0000)
Hg (0.3333, 0.6667, 0.3089)
Te (0.3333, 0.6667, 0.7352)

# 5
## TaHgTe (GGA-PBE)

Data for TaHgTe after structural relaxation.

## Properties
formation energy without anion corrections: 138 meV per atom
volume: 26.6 A^3/atom

abc: 14.367 3.409 7.427
angles: 90.00 118.82 90.00
Space group Cm (No. 8)
Asymmetric unit:
Ta (0.000, 0.000, 0.000)
Ta (0.110, 0.500, 0.869)
Hg (0.040, 0.000, 0.472)
Hg (0.308, 0.000, 0.000)
Te (0.166, 0.500, 0.270)
Te (0.390, 0.000, 0.662)

# 6
## TaHgTe (GGA-PBE)

Data for TaHgTe after structural relaxation.

## Properties
formation energy without anion corrections: 149 meV per atom
volume: 24.4 A^3/atom

abc: 3.4424 3.4424 21.4073
angles: 90.00 90.00 120.00
Space group R3m (No. 160, hexagonal axes)
Asymmetric unit:
Ta (0.0000, 0.0000, 0.0000)
Hg (0.0000, 0.0000, 0.4362)
Te (0.0000, 0.0000, 0.5786)

# 7
## TaHgTe (GGA-PBE)

Data for TaHgTe after structural relaxation.

## Properties
formation energy without anion corrections: 368 meV per atom
volume: 24.9 A^3/atom

abc: 3.788 5.151 15.299
angles: 90.00 90.00 90.00
Space group Fmm2 (No. 42)
Asymmetric unit:
Ta (0.000, 0.000, 0.000)
Hg (0.000, 0.000, 0.643)
Te (0.000, 0.000, 0.368)

# 8
## TaHgTe (GGA-PBE)

Data for TaHgTe after structural relaxation.

## Properties
formation energy without anion corrections: 48 meV per atom
volume: 27.3 A^3/atom

abc: 9.613 3.480 9.813
angles: 90.00 92.93 90.00
Space group Cm (No. 8)
Asymmetric unit:
Ta (0.000, 0.000, 0.000)
Ta (0.167, 0.500, 0.150)
Hg (0.175, 0.500, 0.458)
Hg (0.459, 0.500, 0.636)
Te (0.196, 0.500, 0.874)
Te (0.391, 0.000, 0.211)

# 9
## Ta2HgTe4 (GGA-PBE)

Data for Ta2HgTe4 after structural relaxation.

## Properties
formation energy without anion corrections: 22 meV per atom
volume: 30.4 A^3/atom

abc: 8.344 8.430 8.442
angles: 60.83 60.42 60.36
Space group P-1 (No. 2)
Asymmetric unit:
Ta (0.000, 0.000, 0.000)
Ta (0.000, 0.000, 0.500)
Ta (0.000, 0.500, 0.000)
Ta (0.500, 0.000, 0.000)
Hg (0.372, 0.378, 0.379)
Te (0.213, 0.762, 0.762)
Te (0.237, 0.238, 0.238)
Te (0.238, 0.237, 0.786)
Te (0.239, 0.786, 0.237)

# 10
## TaHgTe (GGA-PBE)

Data for TaHgTe after structural relaxation.

## Properties
formation energy without anion corrections: 179 meV per atom
volume: 24.1 A^3/atom

abc: 3.4230 3.4230 7.1230
angles: 90.00 90.00 120.00
Space group P3m1 (No. 156)
Asymmetric unit:
Ta (0.0000, 0.0000, 0.0000)
Hg (0.6667, 0.3333, 0.6885)
Te (0.3333, 0.6667, 0.2688)

# 11
## TaHgTe (GGA-PBE)

Data for TaHgTe after structural relaxation.

## Properties
formation energy without anion corrections: 42 meV per atom
volume: 25.8 A^3/atom

abc: 12.542 3.468 7.490
angles: 90.00 107.89 90.00
Space group C2/m (No. 12)
Asymmetric unit:
Ta (0.161, 0.000, 0.481)
Hg (0.064, 0.500, 0.715)
Te (0.162, 0.500, 0.185)

# 12
## TaHgTe (GGA-PBE)

Data for TaHgTe after structural relaxation.

## Properties
formation energy without anion corrections: 521 meV per atom
volume: 22.1 A^3/atom

abc: 5.0085 5.0085 3.0474
angles: 90.00 90.00 120.00
Space group P-6m2 (No. 187)
Asymmetric unit:
Ta (0.0000, 0.0000, 0.0000)
Hg (0.3333, 0.6667, 0.5000)
Te (0.6667, 0.3333, 0.0000)

# 13
## TaHgTe (GGA-PBE)

Data for TaHgTe after structural relaxation.

## Properties
formation energy without anion corrections: -71 meV per atom
volume: 26.0 A^3/atom

abc: 3.545 3.534 12.462
angles: 90.00 91.05 90.00
Space group P2_1/m (No. 11)
Asymmetric unit:
Ta (0.220, 0.250, 0.062)
Hg (0.250, 0.250, 0.402)
Te (0.252, 0.250, 0.820)

# 14
## Ta4HgTe (GGA-PBE)

Data for Ta4HgTe after structural relaxation.

## Properties
formation energy without anion corrections: 564 meV per atom
volume: 20.7 A^3/atom

abc: 7.916 7.916 7.916
angles: 90.00 90.00 90.00
Space group F-43m (No. 216)
Asymmetric unit:
Ta (0.124, 0.124, 0.376)
Hg (0.250, 0.250, 0.750)
Te (0.000, 0.000, 0.000)

# 15
## TaHgTe (GGA-PBE)

Data for TaHgTe after structural relaxation.

## Properties
formation energy without anion corrections: -22 meV per atom
volume: 26.6 A^3/atom

abc: 5.441 3.587 8.412
angles: 90.00 103.90 90.00
Space group P2_1/m (No. 11)
Asymmetric unit:
Ta (0.154, 0.250, 0.437)
Hg (0.060, 0.750, 0.146)
Te (0.380, 0.750, 0.687)

# 16
## TaHgTe (GGA-PBE)

Data for TaHgTe after structural relaxation.

## Properties
formation energy without anion corrections: 236 meV per atom
volume: 24.1 A^3/atom

abc: 3.374 3.374 12.684
angles: 90.00 90.00 90.00
Space group I4mm (No. 107)
Asymmetric unit:
Ta (0.000, 0.000, 0.000)
Hg (0.000, 0.000, 0.646)
Te (0.000, 0.000, 0.377)

# 17
## TaHgTe (GGA-PBE)

Data for TaHgTe after structural relaxation.

## Properties
formation energy without anion corrections: 49 meV per atom
volume: 27.7 A^3/atom

abc: 3.478 5.074 10.180
angles: 86.33 80.32 69.97
Space group P1 (No. 1)
Asymmetric unit:
Ta (0.000, 0.000, 0.000)
Ta (0.268, 0.324, 0.143)
Hg (0.127, 0.309, 0.445)
Hg (0.768, 0.856, 0.618)
Te (0.363, 0.402, 0.871)
Te (0.515, 0.765, 0.208)

# 18
## TaHgTe (GGA-PBE)

Data for TaHgTe after structural relaxation.

## Properties
formation energy without anion corrections: 44 meV per atom
volume: 24.5 A^3/atom

abc: 5.698 3.412 7.608
angles: 90.00 96.13 90.00
Space group P2_1/m (No. 11)
Asymmetric unit:
Ta (0.207, 0.250, 0.005)
Hg (0.031, 0.750, 0.662)
Te (0.466, 0.750, 0.249)

# 19
## TaHg3Te (GGA-PBE)

Data for TaHg3Te after structural relaxation.

## Properties
formation energy without anion corrections: 867 meV per atom
volume: 32.0 A^3/atom

abc: 5.428 5.428 5.428
angles: 90.00 90.00 90.00
Space group Pm-3m (No. 221)
Asymmetric unit:
Ta (0.000, 0.000, 0.000)
Hg (0.000, 0.000, 0.500)
Te (0.500, 0.500, 0.500)

# 20
## TaHgTe (GGA-PBE)

Data for TaHgTe after structural relaxation.

## Properties
formation energy without anion corrections: 7 meV per atom
volume: 25.1 A^3/atom

abc: 15.699 3.601 5.342
angles: 90.00 94.45 90.00
Space group C2/m (No. 12)
Asymmetric unit:
Ta (0.219, 0.000, 0.314)
Hg (0.060, 0.500, 0.273)
Te (0.150, 0.000, 0.787)